1.
This record from the Alexandria database describes a geometry-optimized Dy6Y3Mg structure. The functional is GGA-PBE.

The calculation puts the density of states at the Fermi level at 28.7 states/eV per cell. The density is 6.8 g/cm³. The value obtained for the energy above the most stable polymorph in this dataset is 0.000 eV/f.u. The value obtained for the formation energy is 0.02 eV per atom.

The structure belongs to space group P2_1/m (No. 11); the cell edges are 11.094, 5.010 and 11.184 Å and the angles 90.00°, 90.53° and 90.00°. The inequivalent atoms are Dy at (0.048, 0.250, 0.399), Dy at (0.146, 0.750, 0.193), Dy at (0.150, 0.250, 0.696), Dy at (0.244, 0.250, 0.997), Dy at (0.346, 0.750, 0.799), Dy at (0.448, 0.250, 0.602), Y at (0.248, 0.750, 0.496), Y at (0.348, 0.250, 0.295), Y at (0.449, 0.750, 0.099) and Mg at (0.048, 0.750, 0.900).

=====

2.
This record from the Alexandria database describes a geometry-optimized DyYMg structure. The functional is GGA-PBE.

The calculation puts the density of states at the Fermi level at 8.2 states/eV per cell. The density is 5.3 g/cm³. The value obtained for the energy above the most stable polymorph in this dataset is 0.097 eV/f.u. The value obtained for the formation energy is -0.05 eV per atom.

The structure belongs to space group I4mm (No. 107); the cell edges are 3.722, 3.722 and 12.553 Å and the angles 90.00°, 90.00° and 90.00°. The inequivalent atoms are Dy at (0.000, 0.000, 0.000), Y at (0.000, 0.000, 0.687) and Mg at (0.000, 0.000, 0.344).

=====

3.
This record from the Alexandria database describes a geometry-optimized DyYMgZr structure. The functional is GGA-PBE.

The calculation puts the density of states at the Fermi level at 23.2 states/eV per cell. The density is 5.6 g/cm³. The value obtained for the formation energy is 0.13 eV per atom.

The structure belongs to space group F-43m (No. 216); the cell edges are 7.579, 7.579 and 7.579 Å and the angles 90.00°, 90.00° and 90.00°. The inequivalent atoms are Dy at (0.000, 0.000, 0.000), Y at (0.000, 0.000, 0.500), Mg at (0.250, 0.250, 0.750) and Zr at (0.250, 0.250, 0.250).

=====

4.
This record from the Alexandria database describes a geometry-optimized Dy4MgZn2 structure. The functional is GGA-PBE.

The calculation puts the density of states at the Fermi level at 26.6 states/eV per cell. The density is 7.5 g/cm³. The value obtained for the energy above the most stable polymorph in this dataset is 0.000 eV/f.u. The value obtained for the formation energy is -0.12 eV per atom.

The structure belongs to space group R-3m (No. 166, hexagonal axes); the cell edges are 5.0809, 5.0809 and 24.0738 Å and the angles 90.00°, 90.00° and 120.00°. The inequivalent atoms are Dy at (0.0000, 0.0000, 0.1115), Dy at (0.0000, 0.0000, 0.3663), Mg at (0.0000, 0.0000, 0.5000) and Zn at (0.0000, 0.0000, 0.2403).

=====

5.
This record from the Alexandria database describes a geometry-optimized DyMg9Zn2 structure. The functional is GGA-PBE.

The calculation puts the density of states at the Fermi level at 23.0 states/eV per cell. The density is 3.2 g/cm³. The value obtained for the formation energy is -0.04 eV per atom.

The structure belongs to space group I4_1/amd (No. 141, origin choice 2); the cell edges are 11.879, 11.879 and 7.513 Å and the angles 90.00°, 90.00° and 90.00°. The inequivalent atoms are Dy at (0.000, 0.250, 0.375), Mg at (0.000, 0.250, 0.875), Mg at (0.122, 0.053, 0.680) and Zn at (0.000, 0.000, 0.000).

=====

6.
This record from the Alexandria database describes a geometry-optimized DyMg2Zn structure. The functional is GGA-PBE.

The calculation puts the density of states at the Fermi level at 7.7 states/eV per cell. The density is 4.8 g/cm³. The value obtained for the formation energy is 0.04 eV per atom.

The structure belongs to space group R3m (No. 160, hexagonal axes); the cell edges are 3.3525, 3.3525 and 29.3559 Å and the angles 90.00°, 90.00° and 120.00°. The inequivalent atoms are Dy at (0.0000, 0.0000, 0.0000), Mg at (0.0000, 0.0000, 0.5710), Mg at (0.0000, 0.0000, 0.7614) and Zn at (0.0000, 0.0000, 0.1661).

=====

7.
This record from the Alexandria database describes a geometry-optimized Dy5MgZn3 structure. The functional is GGA-PBE.

The calculation puts the density of states at the Fermi level at 17.7 states/eV per cell. The density is 7.7 g/cm³. The value obtained for the formation energy is -0.18 eV per atom.

The structure belongs to space group P6_3/mcm (No. 193); the cell edges are 8.8162, 8.8162 and 6.5984 Å and the angles 90.00°, 90.00° and 120.00°. The inequivalent atoms are Dy at (0.0000, 0.3156, 0.2500), Dy at (0.3333, 0.6667, 0.0000), Mg at (0.0000, 0.0000, 0.0000) and Zn at (0.0000, 0.3487, 0.7500).

=====

8.
This record from the Alexandria database describes a geometry-optimized Dy3Mg2Zn4 structure. The functional is GGA-PBE.

The calculation puts the density of states at the Fermi level at 5.0 states/eV per cell. The density is 6.9 g/cm³. The value obtained for the formation energy is -0.26 eV per atom.

The structure belongs to space group P-3m1 (No. 164); the cell edges are 4.9184, 4.9184 and 9.1390 Å and the angles 90.00°, 90.00° and 120.00°. The inequivalent atoms are Dy at (0.0000, 0.0000, 0.0000), Dy at (0.3333, 0.6667, 0.5962), Mg at (0.3333, 0.6667, 0.2226), Zn at (0.0000, 0.0000, 0.3440) and Zn at (0.3333, 0.6667, 0.9134).

=====

9.
This record from the Alexandria database describes a geometry-optimized DyMgZn4 structure. The functional is GGA-PBE.

The calculation puts the density of states at the Fermi level at 2.1 states/eV per cell. The density is 6.7 g/cm³. The value obtained for the formation energy is -0.29 eV per atom.

The structure belongs to space group P6/mmm (No. 191); the cell edges are 4.4281, 4.4281 and 6.5562 Å and the angles 90.00°, 90.00° and 120.00°. The inequivalent atoms are Dy at (0.0000, 0.0000, 0.0000), Mg at (0.0000, 0.0000, 0.5000) and Zn at (0.3333, 0.6667, 0.2629).

=====

10.
This record from the Alexandria database describes a geometry-optimized Dy4MgZn2 structure. The functional is GGA-PBE.

The calculation puts the density of states at the Fermi level at 33.0 states/eV per cell. The density is 6.9 g/cm³. The value obtained for the energy above the most stable polymorph in this dataset is 1.067 eV/f.u. The value obtained for the formation energy is 0.04 eV per atom.

The structure belongs to space group R-3m (No. 166, hexagonal axes); the cell edges are 5.0867, 5.0867 and 25.8512 Å and the angles 90.00°, 90.00° and 120.00°. The inequivalent atoms are Dy at (0.0000, 0.0000, 0.1203), Dy at (0.0000, 0.0000, 0.2888), Mg at (0.0000, 0.0000, 0.5000) and Zn at (0.0000, 0.0000, 0.4016).

=====

11.
This record from the Alexandria database describes a geometry-optimized Dy2MgZn2 structure. The functional is GGA-PBE.

The calculation puts the density of states at the Fermi level at 11.6 states/eV per cell. The density is 6.9 g/cm³. The value obtained for the formation energy is -0.26 eV per atom.

The structure belongs to space group Cmmm (No. 65); the cell edges are 4.474, 14.350 and 3.618 Å and the angles 90.00°, 90.00° and 90.00°. The inequivalent atoms are Dy at (0.000, 0.129, 0.000), Mg at (0.000, 0.500, 0.500) and Zn at (0.000, 0.299, 0.500).

=====

12.
This record from the Alexandria database describes a geometry-optimized DyMg2Zn2 structure. The functional is GGA-PBE.

The calculation puts the density of states at the Fermi level at 2.3 states/eV per cell. The density is 5.6 g/cm³. The value obtained for the energy above the most stable polymorph in this dataset is 0.000 eV/f.u. The value obtained for the formation energy is -0.21 eV per atom.

The structure belongs to space group P2_1/m (No. 11); the cell edges are 4.773, 4.718 and 9.371 Å and the angles 90.00°, 104.50° and 90.00°. The inequivalent atoms are Dy at (0.159, 0.250, 0.318), Mg at (0.345, 0.250, 0.694), Mg at (0.452, 0.750, 0.911), Zn at (0.040, 0.750, 0.087) and Zn at (0.255, 0.750, 0.507).